Entry 1:
The following is a DFT calculation (PBE-GGA) of a relaxed LiPm4Y3Te8 crystal.

Summary:
The uncorrected formation energy is -1.36 eV per atom. As for the crystal system: trigonal. The total moment is 0.0 μB/f.u. The value obtained for the total energy is -87.26 eV/cell. The value obtained for the density of states at the Fermi level is 8.113 states/eV/cell.

Cell lengths 8.784, 8.834, 8.784 Å; angles 119.81, 120.00, 90.00 degrees
Fractional positions:
Li 0.000 0.500 0.000
Pm 0.500 0.000 0.000
Pm 0.500 0.000 0.500
Pm 0.000 0.000 0.000
Pm 0.000 0.000 0.500
Y 0.500 0.500 0.000
Y 0.500 0.500 0.500
Y 0.000 0.500 0.500
Te 0.242 0.736 0.994
Te 0.242 0.736 0.484
Te 0.253 0.258 0.506
Te 0.753 0.736 0.994
Te 0.247 0.264 0.006
Te 0.747 0.742 0.494
Te 0.758 0.264 0.516
Te 0.758 0.264 0.006


Entry 2:
The following is a DFT calculation (PBE-GGA) of a relaxed MgZn4Cu5 crystal.

Summary:
As for the formation energy: -96 meV/atom. As for the crystal system: tetragonal. The total moment is 0.0 μB/f.u. The value obtained for the total energy is -28.13 eV/cell. The value obtained for the density of states at the Fermi level is 2.925 states/eV/cell.

Cell lengths 3.036, 3.036, 14.665 Å; angles 90.00, 90.00, 90.00 degrees
Fractional positions:
Mg 0.000 0.000 0.000
Zn 0.000 0.000 0.208
Zn 0.000 0.000 0.403
Zn 0.000 0.000 0.597
Zn 0.000 0.000 0.792
Cu 0.500 0.500 0.116
Cu 0.500 0.500 0.306
Cu 0.500 0.500 0.500
Cu 0.500 0.500 0.694
Cu 0.500 0.500 0.884


Entry 3:
The following is a DFT calculation (PBE-GGA) of a relaxed RbNaB2Cl8 crystal.

Summary:
The uncorrected formation energy is -1.29 eV per atom. As for the crystal system: trigonal. The total moment is 0.0 μB/f.u. The value obtained for the total energy is -45.86 eV/cell. The value obtained for the density of states at the Fermi level is 0.000 states/eV/cell.

Cell lengths 6.237, 6.237, 10.137 Å; angles 72.08, 72.08, 60.00 degrees
Fractional positions:
Rb 0.500 0.500 0.500
Na 0.000 0.000 0.000
B 0.250 0.250 0.250
B 0.750 0.750 0.750
Cl 0.185 0.185 0.446
Cl 0.542 0.294 0.186
Cl 0.815 0.815 0.554
Cl 0.977 0.542 0.186
Cl 0.023 0.458 0.814
Cl 0.294 0.977 0.186
Cl 0.706 0.023 0.814
Cl 0.458 0.706 0.814


Entry 4:
The following is a DFT calculation (PBE-GGA) of a relaxed Ce2YErSe4 crystal.

Summary:
The uncorrected formation energy is -1.79 eV per atom. As for the crystal system: monoclinic. The total moment is 2.1 μB/f.u. The value obtained for the total energy is -51.15 eV/cell. The value obtained for the density of states at the Fermi level is 12.651 states/eV/cell.

Cell lengths 4.090, 7.105, 7.270 Å; angles 108.91, 90.00, 90.00 degrees
Site moments in Bohr magnetons follow the coordinates.
Fractional positions:
Ce 0.500 0.000 0.500  0.85
Ce 0.000 0.500 0.500  0.88
Y 0.500 0.500 0.000  -0.01
Er 0.000 0.000 0.000  -0.01
Se 0.500 0.243 0.236  -0.01
Se 0.500 0.757 0.764  -0.01
Se 0.000 0.252 0.763  -0.01
Se 0.000 0.748 0.237  -0.01


- Look up the total moment of the first one.
  0.0 μB/f.u.